No. 1
A plane-wave DFT calculation with PBE-GGA was carried out for an optimized crystal structure of Ca2CoC2.

a = 9.231 Å, b = 5.009 Å, c = 3.609 Å
α = 90.00°, β = 112.47°, γ = 90.00°
Space group C2/m (No. 12)
Symmetry-distinct sites (fractional):
1 Ca 0.182 0.000 0.186
2 Co 0.000 0.500 0.500
3 C 0.085 0.500 0.083

E: -5.81 eV per atom
D(E_F): 4.4 states/eV per cell
ΔE_f: 0.105 eV/atom
Density: 3.51 Mg/m³

***

No. 2
A plane-wave DFT calculation with PBE-GGA was carried out for an optimized crystal structure of Pm3Nd2SmTe6.

a = 19.479 Å, b = 4.453 Å, c = 8.990 Å
α = 90.00°, β = 103.15°, γ = 90.00°
Space group C2/m (No. 12)
Symmetry-distinct sites (fractional):
1 Pm 0.000 0.000 0.000
2 Pm 0.168 0.500 0.333
3 Nd 0.167 0.500 0.834
4 Sm 0.000 0.000 0.500
5 Te 0.001 0.500 0.252
6 Te 0.166 0.000 0.085
7 Te 0.166 0.000 0.581

Raw formation energy: -1.4092 eV/atom
E: -5.36 eV per atom
D(E_F): 12.7 states/eV per cell
Density: 7.17 Mg/m³

***

No. 3
A plane-wave DFT calculation with PBE-GGA was carried out for an optimized crystal structure of Tl2SbCl.

a = 5.656 Å, b = 3.493 Å, c = 12.110 Å
α = 90.00°, β = 90.00°, γ = 90.00°
Space group Amm2 (No. 38)
Symmetry-distinct sites (fractional):
1 Tl 0.000 0.000 0.000
2 Tl 0.500 0.000 0.249
3 Sb 0.500 0.000 0.513
4 Cl 0.000 0.000 0.755

Raw formation energy: -0.3380 eV/atom
E above lowest polymorph: 0.015 eV per atom
E: -3.01 eV per atom
D(E_F): 3.0 states/eV per cell
Density: 7.86 Mg/m³